(1)
A relaxed structure of OsAu2Br. Source: Alexandria, functional GGA-PBE.

Lattice parameters (Å, degrees): 2.9048 2.9048 10.7090 90.00 90.00 122.49
Closest atoms and distances in Å follow each position.
Atoms (fractional coordinates):
Os  0.0000  0.0000  0.0000  4 Au 2.78, 6 Os 2.79-2.90
Au  0.5000  0.5000  0.2243  2 Os 2.78, 6 Au 2.79-2.90
Au  0.5000  0.5000  0.7757  2 Os 2.78, 6 Au 2.79-2.90
Br  0.0000  0.0000  0.5000  6 Br 2.79-2.90

Summary:
Its total energy is -16.482 eV per cell. The density of states at the Fermi level is 4.280 states/eV/f.u. Its space group is Cmmm (65). Its polymorph energy (0 for the lowest one) is 0.48 eV/f.u. For the formation energy without anion corrections, the calculation gives 0.7437 eV/atom. The calculation puts the mass density at 14.47 Mg/m³.

***

(2)
A relaxed structure of HoAs4Pd6. Source: Alexandria, functional GGA-PBE.

Lattice parameters (Å, degrees): 7.4237 7.4237 3.9810 90.00 90.00 120.00
Closest atoms and distances in Å follow each position.
Atoms (fractional coordinates):
Ho  0.0000  0.0000  0.0000  6 As 3.12, 6 Pd 3.21
As  0.3333  0.6667  0.0000  9 Pd 2.60-2.66
As  0.3734  0.1867  0.5000  6 Pd 2.46-2.68
As  0.8133  0.1867  0.5000  6 Pd 2.46-2.68
As  0.8133  0.6266  0.5000  6 Pd 2.46-2.68
Pd  0.1955  0.3911  0.5000  4 As 2.46-2.66
Pd  0.1955  0.8045  0.5000  4 As 2.46-2.66
Pd  0.5352  0.0704  0.0000  5 As 2.60-2.68
Pd  0.5352  0.4648  0.0000  5 As 2.60-2.68
Pd  0.6089  0.8045  0.5000  4 As 2.46-2.66
Pd  0.9296  0.4648  0.0000  5 As 2.60-2.68

Summary:
Its total energy is -60.491 eV per cell. The density of states at the Fermi level is 6.250 states/eV/f.u. For the formation energy, the calculation gives -0.560 eV per atom. Its space group is P-6m2 (187). The calculation puts the mass density at 9.64 Mg/m³.

***

(3)
A relaxed structure of Ag3HgB. Source: Alexandria, functional GGA-PBE.

Lattice parameters (Å, degrees): 4.4398 4.4398 4.4398 90.00 90.00 90.00
Closest atoms and distances in Å follow each position.
Atoms (fractional coordinates):
Ag  0.0000  0.0000  0.5000  2 B 2.22
Ag  0.0000  0.5000  0.0000  2 B 2.22
Ag  0.5000  0.0000  0.0000  2 B 2.22
Hg  0.5000  0.5000  0.5000  12 Ag 3.14
B  0.0000  0.0000  0.0000  6 Ag 2.22

Summary:
Its total energy is -13.209 eV per cell. The density of states at the Fermi level is 1.652 states/eV/f.u. For the formation energy, the calculation gives 0.465 eV per atom. Its space group is Pm-3m (221). Its polymorph energy (0 for the lowest one) is 0.00 eV/f.u. The calculation puts the mass density at 10.15 Mg/m³.

***

(4)
A relaxed structure of Cu3AsS3. Source: Alexandria, functional GGA-PBE.

Lattice parameters (Å, degrees): 8.2605 3.8167 9.3181 90.00 103.22 90.00
Closest atoms and distances in Å follow each position.
Atoms (fractional coordinates):
Cu  0.0802  0.2500  0.4444  2 S 2.25
Cu  0.1560  0.2500  0.7511  4 S 2.27-2.40
Cu  0.2705  0.7500  0.5721  3 S 2.23-2.29
Cu  0.7295  0.2500  0.4279  3 S 2.23-2.29
Cu  0.8440  0.7500  0.2489  4 S 2.27-2.40
Cu  0.9198  0.7500  0.5556  2 S 2.25
As  0.4285  0.7500  0.0536  1 S 2.20
As  0.5715  0.2500  0.9464  1 S 2.20
S  0.1250  0.7500  0.3311  4 Cu 2.25-2.29
S  0.1762  0.7500  0.9106  1 As 2.20, 2 Cu 2.40
S  0.3926  0.2500  0.6622  3 Cu 2.23-2.29
S  0.6074  0.7500  0.3378  3 Cu 2.23-2.29
S  0.8238  0.2500  0.0894  1 As 2.20, 2 Cu 2.40
S  0.8750  0.2500  0.6689  4 Cu 2.25-2.29

Summary:
Its total energy is -59.846 eV per cell. The density of states at the Fermi level is 3.410 states/eV/f.u. Its space group is P2_1/m (11). Its polymorph energy (0 for the lowest one) is 0.59 eV/f.u. For the formation energy without anion corrections, the calculation gives -0.0861 eV/atom. The calculation puts the mass density at 4.20 Mg/m³.

***

(5)
A relaxed structure of NaLiCdBr2. Source: Alexandria, functional GGA-PBE.

Lattice parameters (Å, degrees): 5.6166 5.6166 5.6275 90.00 90.00 90.00
Closest atoms and distances in Å follow each position.
Atoms (fractional coordinates):
Na  0.0000  0.0000  0.0000  4 Br 2.81, 2 Cd 2.81
Li  0.5000  0.5000  0.5000  4 Cd 3.97, 8 Br 3.98
Cd  0.0000  0.0000  0.5000  2 Na 2.81
Br  0.0000  0.5000  0.0000  2 Na 2.81
Br  0.5000  0.0000  0.0000  2 Na 2.81

Summary:
Its total energy is -10.635 eV per cell. The density of states at the Fermi level is 0.000 states/eV/f.u. Its space group is P4/mmm (123). For the formation energy without anion corrections, the calculation gives -0.6283 eV/atom. The calculation puts the mass density at 2.83 Mg/m³.

***

(6)
A relaxed structure of Na2Be2As2H. Source: Alexandria, functional GGA-PBE.

Lattice parameters (Å, degrees): 5.4400 5.4400 7.2048 119.96 119.96 40.32
Closest atoms and distances in Å follow each position.
Atoms (fractional coordinates):
Na  0.0607  0.0607  0.3271  2 H 2.81, 3 As 2.88-2.99, 2 Be 3.12
Na  0.9393  0.9393  0.6729  2 H 2.81, 3 As 2.88-2.99, 2 Be 3.12
Be  0.3318  0.3318  0.9453  1 H 1.54
Be  0.6682  0.6682  0.0547  1 H 1.54
As  0.3055  0.3055  0.2405  3 Be 2.28-2.30
As  0.6945  0.6945  0.7595  3 Be 2.28-2.30
H  0.5000  0.5000  0.0000  2 Be 1.54

Summary:
Its total energy is -24.332 eV per cell. The density of states at the Fermi level is 1.537 states/eV/f.u. Its space group is C2/m (12). The calculation puts the mass density at 3.05 Mg/m³.

***

(7)
A relaxed structure of LiTb2Co. Source: Alexandria, functional GGA-PBE.

Lattice parameters (Å, degrees): 3.3859 3.3859 8.0439 90.00 90.00 90.00
Closest atoms and distances in Å follow each position.
Atoms (fractional coordinates):
Li  0.0000  0.0000  0.0000  4 Li 3.39, 8 Tb 3.39
Tb  0.5000  0.5000  0.2986  4 Co 2.89
Tb  0.5000  0.5000  0.7014  4 Co 2.89
Co  0.0000  0.0000  0.5000  8 Tb 2.89

Summary:
Its total energy is -18.498 eV per cell. The density of states at the Fermi level is 2.686 states/eV/f.u. For the formation energy, the calculation gives -0.055 eV per atom. Its space group is P4/mmm (123). The calculation puts the mass density at 6.91 Mg/m³.

***

(8)
A relaxed structure of Li2ICl. Source: Alexandria, functional GGA-PBE.

Lattice parameters (Å, degrees): 5.0768 5.0768 5.0768 60.00 60.00 60.00
Closest atoms and distances in Å follow each position.
Atoms (fractional coordinates):
Li  0.2500  0.2500  0.2500  4 Cl 3.11, 4 I 3.11
Li  0.7500  0.7500  0.7500  4 Cl 3.11, 4 I 3.11
I  0.0000  0.0000  0.0000  8 Li 3.11
Cl  0.5000  0.5000  0.5000  8 Li 3.11

Summary:
Its total energy is -11.959 eV per cell. The density of states at the Fermi level is 0.000 states/eV/f.u. Its space group is Fm-3m (225). Its polymorph energy (0 for the lowest one) is 1.28 eV/f.u. For the formation energy without anion corrections, the calculation gives -1.1838 eV/atom. The calculation puts the mass density at 3.16 Mg/m³.

***

(9)
A relaxed structure of La3Be2CuPd9. Source: Alexandria, functional GGA-PBE.

Lattice parameters (Å, degrees): 6.7803 6.7803 7.0367 90.00 90.00 120.00
Closest atoms and distances in Å follow each position.
Atoms (fractional coordinates):
La  0.0000  0.0000  0.0000  12 Pd 3.16-3.39, 2 Cu 3.52
La  0.3333  0.6667  0.6667  6 Pd 2.96-3.05
La  0.6667  0.3333  0.3333  6 Pd 2.96-3.05
Be  0.3333  0.6667  0.1423  6 Pd 2.20
Be  0.6667  0.3333  0.8577  6 Pd 2.20
Cu  0.0000  0.0000  0.5000  6 Pd 2.46
Pd  0.0000  0.5000  0.0000  2 Be 2.20
Pd  0.1829  0.3658  0.3286  1 Be 2.20, 1 Cu 2.46
Pd  0.1829  0.8171  0.3286  1 Be 2.20, 1 Cu 2.46
Pd  0.3658  0.1829  0.6714  1 Be 2.20, 1 Cu 2.46
Pd  0.5000  0.0000  0.0000  2 Be 2.20
Pd  0.5000  0.5000  0.0000  2 Be 2.20
Pd  0.6342  0.8171  0.3286  1 Be 2.20, 1 Cu 2.46
Pd  0.8171  0.1829  0.6714  1 Be 2.20, 1 Cu 2.46
Pd  0.8171  0.6342  0.6714  1 Be 2.20, 1 Cu 2.46

Summary:
Its total energy is -81.945 eV per cell. The density of states at the Fermi level is 5.502 states/eV/f.u. For the formation energy, the calculation gives -0.592 eV per atom. Its space group is P-3m1 (164). The calculation puts the mass density at 8.63 Mg/m³.

***

(10)
A relaxed structure of Sc2OsBr. Source: Alexandria, functional GGA-PBE.

Lattice parameters (Å, degrees): 3.1325 3.1325 9.8769 90.00 90.00 113.18
Closest atoms and distances in Å follow each position.
Atoms (fractional coordinates):
Sc  0.0000  0.0000  0.0000  2 Br 2.62
Sc  0.5000  0.5000  0.2745  2 Os 2.53
Os  0.0000  0.0000  0.4619  2 Sc 2.53
Br  0.5000  0.5000  0.8006  2 Sc 2.62

Summary:
Its total energy is -25.213 eV per cell. The density of states at the Fermi level is 4.548 states/eV/f.u. Its space group is Cmm2 (35). Its polymorph energy (0 for the lowest one) is 3.35 eV/f.u. For the formation energy without anion corrections, the calculation gives 0.0881 eV/atom. The calculation puts the mass density at 6.71 Mg/m³.

***

Q: Which of these has the lowest mass density?
A: NaLiCdBr2